A plane-wave DFT calculation with PBE was carried out for V2Ga2Te after structural relaxation.

Cell: 6.851 6.851 3.680 Å, 90.00 90.00 90.00°
Fractional positions:
V 0.125 0.375 0.000
V 0.375 0.875 0.000
V 0.625 0.125 0.000
V 0.875 0.625 0.000
Ga 0.164 0.664 0.500
Ga 0.336 0.164 0.500
Ga 0.664 0.836 0.500
Ga 0.836 0.336 0.500
Te 0.000 0.000 0.000
Te 0.500 0.500 0.000

=====

A plane-wave DFT calculation with PBE was carried out for VGaTe3 after structural relaxation.

Cell: 7.054 3.933 11.450 Å, 90.00 98.20 90.00°
Fractional positions:
V 0.020 0.250 0.164
V 0.980 0.750 0.836
Ga 0.482 0.750 0.251
Ga 0.518 0.250 0.749
Te 0.143 0.250 0.714
Te 0.219 0.750 0.051
Te 0.319 0.250 0.355
Te 0.681 0.750 0.645
Te 0.781 0.250 0.949
Te 0.857 0.750 0.286

Properties
Relative energy among the computed polymorphs: 0.0 meV per atom

=====

A plane-wave DFT calculation with PBE was carried out for Zr2VGaTe after structural relaxation.

Cell: 5.282 5.282 4.869 Å, 90.00 90.00 90.00°
Fractional positions:
Zr 0.000 0.500 0.000
Zr 0.500 0.000 0.000
V 0.000 0.000 0.500
Ga 0.500 0.500 0.500
Te 0.000 0.000 0.000

=====

A plane-wave DFT calculation with PBE was carried out for GaTeW3 after structural relaxation.

Cell: 4.675 4.675 4.675 Å, 90.00 90.00 90.00°
Fractional positions:
Ga 0.000 0.000 0.000
Te 0.500 0.500 0.500
W 0.000 0.000 0.500
W 0.000 0.500 0.000
W 0.500 0.000 0.000

Properties
Relative energy among the computed polymorphs: 0.0 meV per atom

=====

A plane-wave DFT calculation with PBE was carried out for GaTe2W2 after structural relaxation.

Cell: 8.805 8.805 8.805 Å, 155.03 155.03 35.61°
Fractional positions:
Ga 0.000 0.000 0.000
Te 0.375 0.375 0.000
Te 0.625 0.625 0.000
W 0.250 0.750 0.500
W 0.750 0.250 0.500

Properties
Relative energy among the computed polymorphs: 0.0 meV per atom

=====

A plane-wave DFT calculation with PBE was carried out for GaTeW after structural relaxation.

Cell: 4.460 4.880 6.749 Å, 93.83 104.46 113.33°
Fractional positions:
Ga 0.165 0.333 0.402
Ga 0.835 0.667 0.598
Te 0.295 0.843 0.164
Te 0.705 0.157 0.836
W 0.358 0.536 0.819
W 0.642 0.464 0.181

=====

A plane-wave DFT calculation with PBE was carried out for GaTe2W2 after structural relaxation.

Cell: 8.122 8.122 3.122 Å, 90.00 90.00 90.00°
Fractional positions:
Ga 0.000 0.000 0.000
Ga 0.500 0.500 0.000
Te 0.149 0.351 0.000
Te 0.351 0.851 0.000
Te 0.649 0.149 0.000
Te 0.851 0.649 0.000
W 0.139 0.639 0.500
W 0.361 0.139 0.500
W 0.639 0.861 0.500
W 0.861 0.361 0.500

Properties
Relative energy among the computed polymorphs: 514.4 meV per atom

=====

A plane-wave DFT calculation with PBE was carried out for GaTe3W after structural relaxation.

Cell: 5.249 5.249 5.249 Å, 90.00 90.00 90.00°
Fractional positions:
Ga 0.000 0.000 0.000
Te 0.000 0.000 0.500
Te 0.000 0.500 0.000
Te 0.500 0.000 0.000
W 0.500 0.500 0.500

Properties
Relative energy among the computed polymorphs: 825.4 meV per atom

=====

no.,formation energy without anion corrections (kcal/mol of atoms),total magnetization (μB/cell)
1,1.155,0.0
2,-5.576,4.2
3,18.029,2.8
4,44.778,0.0
5,9.864,0.0
6,9.252,0.0
7,21.726,0.0
8,30.707,3.0